# 1
! Sn12HgPd4 | Alexandria via LeMat-Bulk | PBE | optimized geometry; values from VASP
! Theoretical density ... 7.800 Mg/m³
! Space-group type ... Im-3 (204)
&SYSTEM
  ibrav = 0, nat = 17, ntyp = 3
/
ATOMIC_SPECIES
Sn 118.71 Sn.upf
Hg 200.59 Hg.upf
Pd 106.42 Pd.upf
ATOMIC_POSITIONS angstrom
Sn 5.2549 2.2924 -1.7542
Sn 0.7106 3.3539 -1.0050
Sn 5.7701 1.0615 2.7799
Sn 1.9364 1.2308 5.5391
Sn -1.8680 5.6971 -0.0207
Sn 3.1915 3.4047 3.7642
Sn 3.2599 1.0616 1.0050
Sn 0.6422 5.6971 1.7542
Sn 1.9657 5.5278 -2.7799
Sn 3.9998 4.4662 0.0207
Sn -0.0977 2.2924 2.7385
Sn -1.3528 4.4663 4.5134
Hg 0.0000 0.0000 0.0000
Pd -1.9511 3.3793 -1.3796
Pd 3.9021 0.0000 -1.3796
Pd 1.9510 3.3793 1.3796
Pd 0.0000 0.0000 4.1388
CELL_PARAMETERS angstrom
7.8042 0.0000 -2.7592
-3.9021 6.7586 -2.7592
0.0000 0.0000 8.2776

# 2
! ZnFeBi2W | Alexandria via LeMat-Bulk | PBE | optimized geometry; values from VASP
! Theoretical density ... 10.096 Mg/m³
! Space-group type ... P4/mmm (123)
&SYSTEM
  ibrav = 0, nat = 5, ntyp = 4
/
ATOMIC_SPECIES
Zn 65.41 Zn.upf
Bi 208.98 Bi.upf
W 183.84 W.upf
Fe 55.84 Fe.upf
ATOMIC_POSITIONS angstrom
Zn 0.0000 0.0000 0.0000
Bi 0.0000 0.0000 2.6055
Bi 2.6055 0.0000 0.0000
W 2.6055 2.1897 2.6055
Fe 0.0000 2.1897 0.0000
CELL_PARAMETERS angstrom
5.2110 0.0000 0.0000
0.0000 4.3794 0.0000
0.0000 0.0000 5.2110

no.,total energy (eV per atom)
1,-4.263
2,-4.368